Record 1
Material: LiPr2Cu3Sn4
Method: DFT, GGA-PBE
State: optimized geometry

a = 4.471 Å, b = 4.471 Å, c = 10.898 Å
α = 90.00°, β = 90.00°, γ = 90.00°
Space group P-4m2 (No. 115)
Inequivalent atoms, fractional coordinates:
Li 0.000 0.000 0.000
Pr 0.000 0.500 0.754
Cu 0.000 0.500 0.364
Cu 0.500 0.500 0.000
Sn 0.000 0.000 0.500
Sn 0.000 0.500 0.130
Sn 0.500 0.500 0.500

Output
* energy of formation from the pure elements: -0.46 eV/atom
* electronic total energy: -0.1631 Ha/atom

---

Record 2
Material: LiPrCuSn
Method: DFT, GGA-PBE
State: optimized geometry

a = 6.853 Å, b = 6.853 Å, c = 6.853 Å
α = 90.00°, β = 90.00°, γ = 90.00°
Space group F-43m (No. 216)
Inequivalent atoms, fractional coordinates:
Li 0.000 0.000 0.000
Pr 0.250 0.250 0.750
Cu 0.000 0.000 0.500
Sn 0.250 0.250 0.250

Output
* energy of formation from the pure elements: -0.42 eV/atom
* electronic total energy: -0.1514 Ha/atom

---

Record 3
Material: LiPrCuSn2
Method: DFT, GGA-PBE
State: optimized geometry

a = 4.409 Å, b = 4.409 Å, c = 11.483 Å
α = 90.00°, β = 90.00°, γ = 90.00°
Space group I-4m2 (No. 119)
Inequivalent atoms, fractional coordinates:
Li 0.000 0.000 0.000
Pr 0.000 0.500 0.750
Cu 0.000 0.000 0.500
Sn 0.000 0.500 0.126

Output
* energy of formation from the pure elements: -0.49 eV/atom
* electronic total energy: -0.1560 Ha/atom

---

Record 4
Material: SrLiPrCu
Method: DFT, GGA-PBE
State: optimized geometry

a = 7.582 Å, b = 7.582 Å, c = 7.582 Å
α = 90.00°, β = 90.00°, γ = 90.00°
Space group F-43m (No. 216)
Inequivalent atoms, fractional coordinates:
Sr 0.000 0.000 0.000
Li 0.250 0.250 0.250
Pr 0.000 0.000 0.500
Cu 0.250 0.250 0.750

Output
* energy of formation from the pure elements: 0.07 eV/atom
* electronic total energy: -0.1119 Ha/atom

---

- Which of these has the highest electronic total energy?
  SrLiPrCu

---

- The lowest electronic total energy belongs to which entry?
  LiPr2Cu3Sn4

---

- The lowest electronic total energy belongs to which entry?
  LiPr2Cu3Sn4